{
  "formula": "CsBa2Sb2",
  "functional": "PBE",
  "state": "optimized geometry",
  "formation_energy_uncorrected_mev_per_atom": -807,
  "polymorph_energy_ev_per_atom": 0.0000,
  "sg": "P4/mbm (127)",
  "magmom_total_mub_per_cell": 0.0,
  "cell": [[10.216, 0.000, 0.000], [0.000, 10.216, 0.000], [0.000, 0.000, 4.013]],
  "species": ["Cs", "Cs", "Ba", "Ba", "Ba", "Ba", "Sb", "Sb", "Sb", "Sb"],
  "frac_coords": [[0.000, 0.000, 0.000], [0.500, 0.500, 0.000], [0.130, 0.370, 0.000], [0.370, 0.870, 0.000], [0.630, 0.130, 0.000], [0.870, 0.630, 0.000], [0.166, 0.666, 0.500], [0.334, 0.166, 0.500], [0.666, 0.834, 0.500], [0.834, 0.334, 0.500]]
}


{
  "formula": "Cs3BaSb",
  "functional": "PBE",
  "state": "optimized geometry",
  "formation_energy_uncorrected_mev_per_atom": 673,
  "polymorph_energy_ev_per_atom": 0.6326,
  "sg": "Pm-3m (221)",
  "magmom_total_mub_per_cell": 1.9,
  "cell": [[7.071, 0.000, 0.000], [0.000, 7.071, 0.000], [0.000, 0.000, 7.071]],
  "species": ["Cs", "Cs", "Cs", "Ba", "Sb"],
  "frac_coords": [[0.000, 0.000, 0.500], [0.000, 0.500, 0.000], [0.500, 0.000, 0.000], [0.000, 0.000, 0.000], [0.500, 0.500, 0.500]]
}


{
  "formula": "CsBa2Sb2",
  "functional": "PBE",
  "state": "optimized geometry",
  "formation_energy_uncorrected_mev_per_atom": -641,
  "polymorph_energy_ev_per_atom": 0.1659,
  "sg": "I4/mmm (139)",
  "magmom_total_mub_per_cell": 0.0,
  "cell": [[-2.969, 2.969, 7.005], [2.969, -2.969, 7.005], [2.969, 2.969, -7.005]],
  "species": ["Cs", "Ba", "Ba", "Sb", "Sb"],
  "frac_coords": [[0.000, 0.000, 0.000], [0.250, 0.750, 0.500], [0.750, 0.250, 0.500], [0.386, 0.386, 0.000], [0.614, 0.614, 0.000]]
}


{
  "formula": "CsBa3Sb",
  "functional": "PBE",
  "state": "optimized geometry",
  "formation_energy_uncorrected_mev_per_atom": -365,
  "polymorph_energy_ev_per_atom": 0.0000,
  "sg": "Pm-3m (221)",
  "magmom_total_mub_per_cell": 0.0,
  "cell": [[6.938, 0.000, 0.000], [0.000, 6.938, 0.000], [0.000, 0.000, 6.938]],
  "species": ["Cs", "Ba", "Ba", "Ba", "Sb"],
  "frac_coords": [[0.000, 0.000, 0.000], [0.000, 0.500, 0.500], [0.500, 0.000, 0.500], [0.500, 0.500, 0.000], [0.500, 0.500, 0.500]]
}


{
  "formula": "CsBa3Sb",
  "functional": "PBE",
  "state": "optimized geometry",
  "formation_energy_uncorrected_mev_per_atom": 568,
  "polymorph_energy_ev_per_atom": 0.9334,
  "sg": "Pm-3m (221)",
  "magmom_total_mub_per_cell": 0.0,
  "cell": [[6.288, 0.000, 0.000], [0.000, 6.288, 0.000], [0.000, 0.000, 6.288]],
  "species": ["Cs", "Ba", "Ba", "Ba", "Sb"],
  "frac_coords": [[0.000, 0.000, 0.000], [0.000, 0.000, 0.500], [0.000, 0.500, 0.000], [0.500, 0.000, 0.000], [0.500, 0.500, 0.500]]
}


{
  "formula": "Cs3BaSb",
  "functional": "PBE",
  "state": "optimized geometry",
  "formation_energy_uncorrected_mev_per_atom": 40,
  "polymorph_energy_ev_per_atom": 0.0000,
  "sg": "Pm-3m (221)",
  "magmom_total_mub_per_cell": 0.0,
  "cell": [[7.543, 0.000, 0.000], [0.000, 7.543, 0.000], [0.000, 0.000, 7.543]],
  "species": ["Cs", "Cs", "Cs", "Ba", "Sb"],
  "frac_coords": [[0.000, 0.000, 0.500], [0.000, 0.500, 0.000], [0.500, 0.000, 0.000], [0.500, 0.500, 0.500], [0.000, 0.000, 0.000]]
}


{
  "formula": "Cs3BaSb6",
  "functional": "PBE",
  "state": "optimized geometry",
  "formation_energy_uncorrected_mev_per_atom": -298,
  "sg": "R-3c (167)",
  "magmom_total_mub_per_cell": 0.0,
  "cell": [[7.272, 4.198, 4.688], [-7.272, 4.198, 4.688], [0.000, -8.397, 4.688]],
  "species": ["Cs", "Cs", "Cs", "Cs", "Cs", "Cs", "Ba", "Ba", "Sb", "Sb", "Sb", "Sb", "Sb", "Sb", "Sb", "Sb", "Sb", "Sb", "Sb", "Sb"],
  "frac_coords": [[0.192, 0.750, 0.308], [0.250, 0.692, 0.808], [0.308, 0.192, 0.750], [0.692, 0.808, 0.250], [0.750, 0.308, 0.192], [0.808, 0.250, 0.692], [0.000, 0.000, 0.000], [0.500, 0.500, 0.500], [0.025, 0.092, 0.397], [0.092, 0.397, 0.025], [0.103, 0.408, 0.475], [0.397, 0.025, 0.092], [0.408, 0.475, 0.103], [0.475, 0.103, 0.408], [0.525, 0.897, 0.592], [0.592, 0.525, 0.897], [0.603, 0.975, 0.908], [0.897, 0.592, 0.525], [0.908, 0.603, 0.975], [0.975, 0.908, 0.603]]
}


{
  "formula": "CsBaSb4",
  "functional": "PBE",
  "state": "optimized geometry",
  "formation_energy_uncorrected_mev_per_atom": -384,
  "sg": "F-43m (216)",
  "magmom_total_mub_per_cell": 0.0,
  "cell": [[0.000, 4.709, 4.709], [4.709, 0.000, 4.709], [4.709, 4.709, 0.000]],
  "species": ["Cs", "Ba", "Sb", "Sb", "Sb", "Sb"],
  "frac_coords": [[0.000, 0.000, 0.000], [0.250, 0.250, 0.250], [0.131, 0.623, 0.623], [0.623, 0.131, 0.623], [0.623, 0.623, 0.131], [0.623, 0.623, 0.623]]
}